! Pu3Si4Ir | the Alexandria database | PBE | optimized geometry; values from VASP
&SYSTEM
  ibrav = 0, nat = 16, ntyp = 3
/
ATOMIC_SPECIES
Pu 244.00 Pu.upf
Si 28.09 Si.upf
Ir 192.22 Ir.upf
CELL_PARAMETERS angstrom
2.908 0.000 0.000
0.000 6.009 0.000
0.000 0.000 17.465
ATOMIC_POSITIONS crystal
Pu 0.000 0.000 0.000
Pu 0.000 0.500 0.252
Pu 0.000 0.500 0.748
Pu 0.500 0.000 0.248
Pu 0.500 0.000 0.752
Pu 0.500 0.500 0.500
Si 0.000 0.210 0.383
Si 0.000 0.210 0.617
Si 0.000 0.790 0.383
Si 0.000 0.790 0.617
Si 0.500 0.290 0.117
Si 0.500 0.290 0.883
Si 0.500 0.710 0.117
Si 0.500 0.710 0.883
Ir 0.000 0.000 0.500
Ir 0.500 0.500 0.000
! Space-group type ... Immm, No. 71
! Total moment ... 1.9479 μB/atom
! Uncorrected energy ... -75.5 eV/f.u.
! Density ... 11.28 g/cm³
! Formation energy (no corrections) ... -0.246 eV per atom

=====

! Sn2PdO | the Alexandria database | PBE | optimized geometry; values from VASP
&SYSTEM
  ibrav = 0, nat = 16, ntyp = 3
/
ATOMIC_SPECIES
Sn 118.71 Sn.upf
Pd 106.42 Pd.upf
O 16.00 O.upf
CELL_PARAMETERS angstrom
5.817 0.000 0.000
0.000 5.817 0.000
0.000 0.000 10.570
ATOMIC_POSITIONS crystal
Sn 0.206 0.250 0.125
Sn 0.250 0.706 0.375
Sn 0.250 0.794 0.875
Sn 0.294 0.250 0.625
Sn 0.706 0.750 0.625
Sn 0.750 0.206 0.875
Sn 0.750 0.294 0.375
Sn 0.794 0.750 0.125
Pd 0.000 0.000 0.500
Pd 0.000 0.500 0.750
Pd 0.500 0.000 0.250
Pd 0.500 0.500 0.000
O 0.000 0.000 0.000
O 0.000 0.500 0.250
O 0.500 0.000 0.750
O 0.500 0.500 0.500
! Space-group type ... I-42d, No. 122
! Total moment ... 0.0000 μB/atom
! Uncorrected energy ... -20.2 eV/f.u.
! Density ... 6.68 g/cm³
! Formation energy (no corrections) ... -0.518 eV per atom

=====

! Li2AuCl | the Alexandria database | PBE | optimized geometry; values from VASP
&SYSTEM
  ibrav = 0, nat = 12, ntyp = 3
/
ATOMIC_SPECIES
Li 6.94 Li.upf
Au 196.97 Au.upf
Cl 35.45 Cl.upf
CELL_PARAMETERS angstrom
3.584 0.000 0.000
-1.792 3.104 0.000
0.000 0.000 19.463
ATOMIC_POSITIONS crystal
Li 0.000 0.000 0.242
Li 0.000 0.000 0.758
Li 0.333 0.667 0.425
Li 0.333 0.667 0.909
Li 0.667 0.333 0.091
Li 0.667 0.333 0.575
Au 0.000 0.000 0.000
Au 0.333 0.667 0.667
Au 0.667 0.333 0.333
Cl 0.000 0.000 0.500
Cl 0.333 0.667 0.167
Cl 0.667 0.333 0.833
! Space-group type ... R-3m, No. 166
! Total moment ... 0.0000 μB/atom
! Uncorrected energy ... -13.0 eV/f.u.
! Density ... 5.66 g/cm³
! Formation energy (no corrections) ... -1.008 eV per atom
! Relative energy among the computed polymorphs ... 0 meV per atom